Entry 1:
# Cs2CuRu, relaxed, DFT PBE
# Crystal system ... tetragonal
# Formation enthalpy at 0 K ... 0.9751 eV/atom
data_Cs2CuRu
_chemical_formula_sum 'Cs8 Cu4 Ru4'
_space_group_name_H-M_alt 'I 41/a m d'
_space_group_IT_number 141
_cell_length_a 12.278
_cell_length_b 12.278
_cell_length_c 4.818
_cell_angle_alpha 90.00
_cell_angle_beta 90.00
_cell_angle_gamma 90.00
loop_
_space_group_symop_operation_xyz
'x,y,z'
'-x,-y,-z'
'-y+1/4,x+3/4,z+1/4'
'y+1/4,-x+3/4,-z+1/4'
'-x+1/2,-y,z+1/2'
'x+1/2,y,-z+1/2'
'y+1/4,-x+1/4,z+3/4'
'-y+1/4,x+1/4,-z+3/4'
'x,-y,-z'
'-x,y,z'
'-y+1/4,-x+1/4,-z+3/4'
'y+1/4,x+1/4,z+3/4'
'-x+1/2,y,-z+1/2'
'x+1/2,-y,z+1/2'
'y+1/4,x+3/4,-z+1/4'
'-y+1/4,-x+3/4,z+1/4'
'x+1/2,y+1/2,z+1/2'
'-x+1/2,-y+1/2,-z+1/2'
'-y+3/4,x+1/4,z+3/4'
'y+3/4,-x+1/4,-z+3/4'
'-x,-y+1/2,z'
'x,y+1/2,-z'
'y+3/4,-x+3/4,z+1/4'
'-y+3/4,x+3/4,-z+1/4'
'x+1/2,-y+1/2,-z+1/2'
'-x+1/2,y+1/2,z+1/2'
'-y+3/4,-x+3/4,-z+1/4'
'y+3/4,x+3/4,z+1/4'
'-x,y+1/2,-z'
'x,-y+1/2,z'
'y+3/4,x+1/4,-z+3/4'
'-y+3/4,-x+1/4,z+3/4'
loop_
_atom_site_label
_atom_site_fract_x
_atom_site_fract_y
_atom_site_fract_z
Cs1 0.000 0.000 0.000
Cu1 0.000 0.250 0.375
Ru1 0.000 0.250 0.875

Entry 2:
# CsCuRu3, relaxed, DFT PBE
# Crystal system ... cubic
# Formation enthalpy at 0 K ... 1.8505 eV/atom
# Energy above the most stable polymorph in this dataset ... 0 meV/atom
data_CsCuRu3
_chemical_formula_sum 'Cs1 Cu1 Ru3'
_space_group_name_H-M_alt 'P m -3 m'
_space_group_IT_number 221
_space_group_name_Hall '-P 4 2 3'
_cell_length_a 4.799
_cell_length_b 4.799
_cell_length_c 4.799
_cell_angle_alpha 90.00
_cell_angle_beta 90.00
_cell_angle_gamma 90.00
loop_
_atom_site_label
_atom_site_fract_x
_atom_site_fract_y
_atom_site_fract_z
Cs1 0.000 0.000 0.000
Cu1 0.500 0.500 0.500
Ru1 0.000 0.500 0.500

Entry 3:
# CsCuRu2, relaxed, DFT PBE
# Crystal system ... tetragonal
# Formation enthalpy at 0 K ... 1.3390 eV/atom
# Energy above the most stable polymorph in this dataset ... 0 meV/atom
data_CsCuRu2
_chemical_formula_sum 'Cs4 Cu4 Ru8'
_space_group_name_H-M_alt 'I -4 2 d'
_space_group_IT_number 122
_space_group_name_Hall 'I -4 2bw'
_cell_length_a 4.411
_cell_length_b 4.411
_cell_length_c 19.077
_cell_angle_alpha 90.00
_cell_angle_beta 90.00
_cell_angle_gamma 90.00
loop_
_atom_site_label
_atom_site_fract_x
_atom_site_fract_y
_atom_site_fract_z
Cs1 0.000 0.000 0.000
Cu1 0.000 0.000 0.500
Ru1 0.108 0.250 0.625

Entry 4:
# CsCu3Ru, relaxed, DFT PBE
# Crystal system ... cubic
# Formation enthalpy at 0 K ... 2.5308 eV/atom
# Energy above the most stable polymorph in this dataset ... 1598 meV/atom
data_CsCu3Ru
_chemical_formula_sum 'Cs1 Cu3 Ru1'
_space_group_name_H-M_alt 'P m -3 m'
_space_group_IT_number 221
_space_group_name_Hall '-P 4 2 3'
_cell_length_a 5.121
_cell_length_b 5.121
_cell_length_c 5.121
_cell_angle_alpha 90.00
_cell_angle_beta 90.00
_cell_angle_gamma 90.00
loop_
_atom_site_label
_atom_site_fract_x
_atom_site_fract_y
_atom_site_fract_z
Cs1 0.000 0.000 0.000
Cu1 0.000 0.000 0.500
Ru1 0.500 0.500 0.500

Entry 5:
# Cs3CuRu, relaxed, DFT PBE
# Crystal system ... cubic
# Formation enthalpy at 0 K ... 0.9690 eV/atom
# Energy above the most stable polymorph in this dataset ... 0 meV/atom
data_Cs3CuRu
_chemical_formula_sum 'Cs3 Cu1 Ru1'
_space_group_name_H-M_alt 'P m -3 m'
_space_group_IT_number 221
_space_group_name_Hall '-P 4 2 3'
_cell_length_a 5.978
_cell_length_b 5.978
_cell_length_c 5.978
_cell_angle_alpha 90.00
_cell_angle_beta 90.00
_cell_angle_gamma 90.00
loop_
_atom_site_label
_atom_site_fract_x
_atom_site_fract_y
_atom_site_fract_z
Cs1 0.000 0.000 0.500
Cu1 0.500 0.500 0.500
Ru1 0.000 0.000 0.000

Entry 6:
# Cs2CuRuS4, relaxed, DFT PBE
# Crystal system ... orthorhombic
# Raw formation energy ... -0.6410 eV per atom
data_Cs2CuRuS4
_chemical_formula_sum 'Cs16 Cu8 Ru8 S32'
_space_group_name_H-M_alt 'F d d d'
_space_group_IT_number 70
_cell_length_a 5.767
_cell_length_b 13.952
_cell_length_c 24.635
_cell_angle_alpha 90.00
_cell_angle_beta 90.00
_cell_angle_gamma 90.00
loop_
_space_group_symop_operation_xyz
'x,y,z'
'-x,-y,-z'
'-x+1/4,-y+1/4,z'
'x+1/4,y+1/4,-z'
'x,-y+1/4,-z+1/4'
'-x,y+1/4,z+1/4'
'-x+1/4,y,-z+1/4'
'x+1/4,-y,z+1/4'
'x,y+1/2,z+1/2'
'-x,-y+1/2,-z+1/2'
'-x+1/4,-y+3/4,z+1/2'
'x+1/4,y+3/4,-z+1/2'
'x,-y+3/4,-z+3/4'
'-x,y+3/4,z+3/4'
'-x+1/4,y+1/2,-z+3/4'
'x+1/4,-y+1/2,z+3/4'
'x+1/2,y,z+1/2'
'-x+1/2,-y,-z+1/2'
'-x+3/4,-y+1/4,z+1/2'
'x+3/4,y+1/4,-z+1/2'
'x+1/2,-y+1/4,-z+3/4'
'-x+1/2,y+1/4,z+3/4'
'-x+3/4,y,-z+3/4'
'x+3/4,-y,z+3/4'
'x+1/2,y+1/2,z'
'-x+1/2,-y+1/2,-z'
'-x+3/4,-y+3/4,z'
'x+3/4,y+3/4,-z'
'x+1/2,-y+3/4,-z+1/4'
'-x+1/2,y+3/4,z+1/4'
'-x+3/4,y+1/2,-z+1/4'
'x+3/4,-y+1/2,z+1/4'
loop_
_atom_site_label
_atom_site_fract_x
_atom_site_fract_y
_atom_site_fract_z
Cs1 0.125 0.125 0.303
Cu1 0.125 0.125 0.125
Ru1 0.125 0.125 0.625
S1 0.116 0.286 0.825

Entry 7:
# CsCu2SbRu, relaxed, DFT PBE
# Crystal system ... tetragonal
# Raw formation energy ... 2.0392 eV per atom
data_CsCu2SbRu
_chemical_formula_sum 'Cs1 Cu2 Sb1 Ru1'
_space_group_name_H-M_alt 'P 4/m m m'
_space_group_IT_number 123
_space_group_name_Hall '-P 4 2'
_cell_length_a 5.066
_cell_length_b 5.066
_cell_length_c 5.057
_cell_angle_alpha 90.00
_cell_angle_beta 90.00
_cell_angle_gamma 90.00
loop_
_atom_site_label
_atom_site_fract_x
_atom_site_fract_y
_atom_site_fract_z
Cs1 0.000 0.000 0.000
Cu1 0.000 0.500 0.000
Sb1 0.500 0.500 0.500
Ru1 0.000 0.000 0.500

Entry 8:
# CsSc2CuRu, relaxed, DFT PBE
# Crystal system ... tetragonal
# Formation enthalpy at 0 K ... 0.3311 eV/atom
data_CsSc2CuRu
_chemical_formula_sum 'Cs1 Sc2 Cu1 Ru1'
_space_group_name_H-M_alt 'P 4/m m m'
_space_group_IT_number 123
_space_group_name_Hall '-P 4 2'
_cell_length_a 4.976
_cell_length_b 4.976
_cell_length_c 5.453
_cell_angle_alpha 90.00
_cell_angle_beta 90.00
_cell_angle_gamma 90.00
loop_
_atom_site_label
_atom_site_fract_x
_atom_site_fract_y
_atom_site_fract_z
Cs1 0.000 0.000 0.000
Sc1 0.000 0.500 0.500
Cu1 0.500 0.500 0.000
Ru1 0.500 0.500 0.500